First-principles (PBE with a Hubbard U) data for BeCoN2F after structural relaxation, as listed in Alexandria.

Output
- mass density (Mg/m³) = 4.30
- relative energy among the computed polymorphs (eV/atom) = 0.000

a = 3.3916 Å, b = 3.3916 Å, c = 3.8591 Å
α = 90.00°, β = 90.00°, γ = 90.00°
Fractional positions:
1 Be 0.0000 0.0000 0.0000
2 Co 0.5000 0.5000 0.5000
3 N 0.0000 0.5000 0.0000
4 N 0.5000 0.0000 0.0000
5 F 0.0000 0.0000 0.5000